Model a:
A geometry-optimized TbYMgNi structure, computed with PBE.

Cell: 3.4609 3.4609 7.9069 Å, 90.00 90.00 90.00°
Fractional positions:
1 Tb 0.0000 0.0000 0.0000
2 Y 0.0000 0.0000 0.5925
3 Mg 0.5000 0.5000 0.2972
4 Ni 0.5000 0.5000 0.7984

## Properties
The value obtained for the total magnetization is 0.00 Bohr magnetons per cell. The space group is P4mm, No. 99.

=====

Model b:
A geometry-optimized TbYMgNi structure, computed with PBE.

Cell: 5.0689 5.0689 5.0689 Å, 60.00 60.00 60.00°
Fractional positions:
1 Tb 0.0000 0.0000 0.0000
2 Y 0.5000 0.5000 0.5000
3 Mg 0.7500 0.7500 0.7500
4 Ni 0.2500 0.2500 0.2500

## Properties
The value obtained for the total magnetization is 0.00 Bohr magnetons per cell. The space group is F-43m, No. 216.

=====

Which structure is most stable? model a, by 128 meV per atom over the runner-up.